No. 1
A relaxed CeDySn crystal. Source: Alexandria via LeMat-Bulk, functional PBE.

Summary:
**Calculated formation energy**: -1.1 eV/f.u.
**Energy above the lowest structure with this stoichiometry**: 19.7 kJ/mol of atoms

a b c (Å): 4.1011 4.1011 9.9753
angles (deg): 90.00 90.00 90.00
Space group I4mm (No. 107)
Inequivalent atoms, fractional coordinates:
1 Ce 0.0000 0.0000 0.0000 x2
2 Dy 0.0000 0.0000 0.3066 x2
3 Sn 0.0000 0.0000 0.6594 x2

***

No. 2
A relaxed Ce5DySn5 crystal. Source: Alexandria via LeMat-Bulk, functional PBE.

Summary:
**Calculated formation energy**: -3.7 eV/f.u.

a b c (Å): 14.2252 6.3107 8.7426
angles (deg): 90.00 107.94 90.00
Space group C2/m (No. 12)
Inequivalent atoms, fractional coordinates:
1 Ce 0.0000 0.0000 0.0000 x2
2 Ce 0.1649 0.5000 0.3309 x4
3 Ce 0.1655 0.5000 0.8343 x4
4 Dy 0.0000 0.0000 0.5000 x2
5 Sn 0.0000 0.5000 0.5000 x2
6 Sn 0.1655 0.0000 0.8338 x4
7 Sn 0.1671 0.0000 0.3322 x4

***

No. 3
A relaxed CeDy3Sn3 crystal. Source: Alexandria via LeMat-Bulk, functional PBE.

Summary:
**Calculated formation energy**: -3.6 eV/f.u.

a b c (Å): 9.2003 9.2003 5.4040
angles (deg): 90.00 90.00 120.00
Space group P6_3/m (No. 176)
Inequivalent atoms, fractional coordinates:
1 Ce 0.3333 0.6667 0.2500 x2
2 Dy 0.0053 0.7644 0.2500 x6
3 Sn 0.0740 0.6253 0.7500 x6

***

No. 4
A relaxed CeDySn6 crystal. Source: Alexandria via LeMat-Bulk, functional PBE.

Summary:
**Calculated formation energy**: -3.8 eV/f.u.

a b c (Å): 4.7270 4.7270 9.3885
angles (deg): 90.00 90.00 90.00
Space group P4/mmm (No. 123)
Inequivalent atoms, fractional coordinates:
1 Ce 0.0000 0.0000 0.0000 x1
2 Dy 0.0000 0.0000 0.5000 x1
3 Sn 0.0000 0.5000 0.2514 x4
4 Sn 0.5000 0.5000 0.0000 x1
5 Sn 0.5000 0.5000 0.5000 x1